Compound: Sm4ErAg
Source: Alexandria
Functional: GGA-PBE
Structure: optimized geometry

## Properties
* distance to the lowest polymorph of the same formula: 0.0000 eV per atom
* formation enthalpy at 0 K: -70.6 meV per atom

Cell lengths 3.6166, 3.6166, 14.0625 Å; angles 90.00, 90.00, 90.00 degrees
Element x y z (fractional)
Ag 0.5000 0.5000 0.5000
Sm 0.0000 0.0000 0.6393
Sm 0.5000 0.5000 0.8236
Sm 0.0000 0.0000 0.3607
Er 0.0000 0.0000 0.0000
Sm 0.5000 0.5000 0.1764

***

Compound: Y2ZrCr
Source: Alexandria
Functional: GGA-PBE
Structure: optimized geometry

## Properties
* distance to the lowest polymorph of the same formula: 0.0000 eV per atom
* formation enthalpy at 0 K: 231.2 meV per atom

Cell lengths 3.5011, 3.5011, 8.1180 Å; angles 90.00, 90.00, 90.00 degrees
Last column: magnetic moment on the atom in μB.
Element x y z (fractional)
Zr 0.0000 0.0000 0.5580  -0.35
Cr 0.5000 0.5000 0.7122  1.95
Y 0.5000 0.5000 0.2843  0.00
Y 0.0000 0.0000 0.9455  -0.07

***

Compound: Y3ZrCo8
Source: Alexandria
Functional: GGA-PBE
Structure: optimized geometry

## Properties
* formation enthalpy at 0 K: -196.6 meV per atom

Cell lengths 5.0334, 5.0334, 8.7208 Å; angles 73.23, 73.23, 60.00 degrees
Last column: magnetic moment on the atom in μB.
Element x y z (fractional)
Y 0.9997 0.9997 0.0010  -0.23
Co 0.4370 0.9324 0.1936  1.02
Zr 0.8754 0.8754 0.3739  -0.35
Y 0.3746 0.3746 0.8762  -0.24
Co 0.9375 0.9375 0.6815  1.09
Co 0.4370 0.4370 0.1936  1.02
Co 0.1879 0.1879 0.4363  1.08
Co 0.9375 0.4435 0.6815  1.09
Y 0.5001 0.5001 0.4998  -0.22
Co 0.6875 0.6875 0.9374  1.05
Co 0.9324 0.4370 0.1936  1.02
Co 0.4435 0.9375 0.6815  1.09

***

Compound: LuZr2Ta
Source: Alexandria
Functional: GGA-PBE
Structure: optimized geometry

## Properties
* distance to the lowest polymorph of the same formula: 0.0000 eV per atom
* formation enthalpy at 0 K: 136.9 meV per atom

Cell lengths 3.6531, 3.6531, 6.9801 Å; angles 90.00, 90.00, 90.00 degrees
Element x y z (fractional)
Zr 0.0000 0.0000 0.2085
Ta 0.5000 0.5000 0.0000
Zr 0.0000 0.0000 0.7915
Lu 0.5000 0.5000 0.5000

***

Compound: LiDyTmRh
Source: Alexandria
Functional: GGA-PBE
Structure: optimized geometry

## Properties
* formation enthalpy at 0 K: -511.4 meV per atom

Cell lengths 4.8959, 4.8959, 4.8959 Å; angles 60.00, 60.00, 60.00 degrees
Element x y z (fractional)
Dy 0.7500 0.7500 0.7500
Tm 0.2500 0.2500 0.2500
Li 0.0000 0.0000 0.0000
Rh 0.5000 0.5000 0.5000

***

Compound: PmDy10Sc4
Source: Alexandria
Functional: GGA-PBE
Structure: optimized geometry

## Properties
* formation enthalpy at 0 K: 583.3 meV per atom

Cell lengths 8.9809, 8.6900, 8.6900 Å; angles 74.51, 58.89, 58.89 degrees
Element x y z (fractional)
Dy 0.7500 0.5000 0.5000
Sc 0.5396 0.1931 0.7276
Dy 0.6028 0.0924 0.3349
Dy 0.3972 0.9076 0.6651
Dy 0.0302 0.9076 0.6651
Dy 0.6953 0.3349 0.9076
Dy 0.3047 0.6651 0.0924
Dy 0.9378 0.6651 0.0924
Sc 0.7327 0.7276 0.8069
Sc 0.2673 0.2724 0.1931
Dy 0.2500 0.5000 0.5000
Sc 0.4604 0.8069 0.2724
Dy 0.0622 0.3349 0.9076
Pm 0.0000 0.0000 0.0000
Dy 0.9698 0.0924 0.3349

***

Compound: Tb3Er8Tm
Source: Alexandria
Functional: GGA-PBE
Structure: optimized geometry

## Properties
* formation enthalpy at 0 K: 733.8 meV per atom

Cell lengths 7.6017, 7.6017, 9.3192 Å; angles 114.07, 114.07, 90.00 degrees
Element x y z (fractional)
Er 0.8754 0.3737 0.2491
Tb 0.2500 0.7500 0.5000
Er 0.1246 0.1246 0.7509
Er 0.3737 0.8754 0.2491
Tb 0.5000 0.5000 0.0000
Er 0.1246 0.6263 0.7509
Er 0.6263 0.6263 0.7509
Tm 0.0000 0.0000 0.0000
Er 0.8754 0.8754 0.2491
Er 0.6263 0.1246 0.7509
Tb 0.7500 0.2500 0.5000
Er 0.3737 0.3737 0.2491

***

Compound: Tb2Pm3Dy6Y
Source: Alexandria
Functional: GGA-PBE
Structure: optimized geometry

## Properties
* formation enthalpy at 0 K: 15.7 meV per atom

Cell lengths 6.1952, 6.1952, 11.8343 Å; angles 94.99, 94.99, 119.97 degrees
Element x y z (fractional)
Tb 0.3334 0.6666 0.0000
Tb 0.6666 0.3334 0.0000
Pm 0.1666 0.8334 0.5000
Dy 0.5833 0.9172 0.7522
Dy 0.4167 0.0828 0.2478
Pm 0.5000 0.5000 0.5000
Pm 0.8334 0.1666 0.5000
Y 0.0000 0.0000 0.0000
Dy 0.9172 0.5833 0.7522
Dy 0.0828 0.4167 0.2478
Dy 0.2511 0.2511 0.7522
Dy 0.7489 0.7489 0.2478

***

What is the formula in the fourth record?
LuZr2Ta

***

Repeat the eighth record exactly.
Compound: Tb2Pm3Dy6Y
Source: Alexandria
Functional: GGA-PBE
Structure: optimized geometry

## Properties
* formation enthalpy at 0 K: 15.7 meV per atom

Cell lengths 6.1952, 6.1952, 11.8343 Å; angles 94.99, 94.99, 119.97 degrees
Element x y z (fractional)
Tb 0.3334 0.6666 0.0000
Tb 0.6666 0.3334 0.0000
Pm 0.1666 0.8334 0.5000
Dy 0.5833 0.9172 0.7522
Dy 0.4167 0.0828 0.2478
Pm 0.5000 0.5000 0.5000
Pm 0.8334 0.1666 0.5000
Y 0.0000 0.0000 0.0000
Dy 0.9172 0.5833 0.7522
Dy 0.0828 0.4167 0.2478
Dy 0.2511 0.2511 0.7522
Dy 0.7489 0.7489 0.2478

***

Among the records above, which one has the lowest formation enthalpy at 0 K?
LiDyTmRh

***

Which formula does entry 1 have?
Sm4ErAg